[1]
First-principles (GGA-PBE) data for a relaxed Sc2NiW crystal, as listed in the Alexandria database.

The value obtained for the total magnetization is 0.0000 μB per atom. The calculation puts the calculated total energy at -62.985 eV/cell. The value obtained for the energy of formation from the pure elements is -0.0237 eV/atom.

The structure belongs to space group Cm (No. 8); the cell edges are 10.427, 2.937 and 5.043 Å and the angles 90.00°, 114.46° and 90.00°. The distinct sites, in fractional coordinates, are Sc at (0.000, 0.000, 0.000), Sc at (0.199, 0.000, 0.633), Ni at (0.230, 0.500, 0.091) and W at (0.426, 0.000, 0.450).

[2]
First-principles (GGA-PBE) data for a relaxed ScNi6W crystal, as listed in the Alexandria database.

The value obtained for the total magnetization is 0.0001 μB per atom. The calculation puts the calculated total energy at -445.561 eV/cell. The value obtained for the energy of formation from the pure elements is -0.2153 eV/atom.

The structure belongs to space group Cmmm (No. 65); the cell edges are 7.350, 10.402 and 10.384 Å and the angles 90.00°, 90.00° and 90.00°. The distinct sites, in fractional coordinates, are Sc at (0.000, 0.000, 0.250), Sc at (0.000, 0.249, 0.000), Ni at (0.000, 0.000, 0.000), Ni at (0.000, 0.000, 0.500), Ni at (0.000, 0.254, 0.257), Ni at (0.000, 0.500, 0.000), Ni at (0.000, 0.500, 0.500), Ni at (0.243, 0.372, 0.379), Ni at (0.244, 0.376, 0.129), W at (0.000, 0.245, 0.500) and W at (0.000, 0.500, 0.247).

[3]
First-principles (GGA-PBE) data for a relaxed Sc2NiW crystal, as listed in the Alexandria database.

The value obtained for the total magnetization is 0.0000 μB per atom. The calculation puts the calculated total energy at -88.901 eV/cell. The value obtained for the energy of formation from the pure elements is 0.4410 eV/atom.

The structure belongs to space group R-3m (No. 166, hexagonal axes); the cell edges are 2.9722, 2.9722 and 28.5387 Å and the angles 90.00°, 90.00° and 120.00°. The distinct sites, in fractional coordinates, are Sc at (0.0000, 0.0000, 0.0848), Ni at (0.0000, 0.0000, 0.0000) and W at (0.0000, 0.0000, 0.5000).

[4]
First-principles (GGA-PBE) data for a relaxed Sc2NiW crystal, as listed in the Alexandria database.

The value obtained for the total magnetization is 0.0001 μB per atom. The calculation puts the calculated total energy at -61.203 eV/cell. The value obtained for the energy of formation from the pure elements is 0.1990 eV/atom.

The structure belongs to space group I-4m2 (No. 119); the cell edges are 3.915, 3.915 and 9.057 Å and the angles 90.00°, 90.00° and 90.00°. The distinct sites, in fractional coordinates, are Sc at (0.000, 0.000, 0.000), Sc at (0.000, 0.500, 0.250), Ni at (0.000, 0.000, 0.500) and W at (0.000, 0.500, 0.750).

- Look up the energy of formation from the pure elements of the fourth one.
  0.1990 eV/atom

Copy entry 3 word for word.
First-principles (GGA-PBE) data for a relaxed Sc2NiW crystal, as listed in the Alexandria database.

The value obtained for the total magnetization is 0.0000 μB per atom. The calculation puts the calculated total energy at -88.901 eV/cell. The value obtained for the energy of formation from the pure elements is 0.4410 eV/atom.

The structure belongs to space group R-3m (No. 166, hexagonal axes); the cell edges are 2.9722, 2.9722 and 28.5387 Å and the angles 90.00°, 90.00° and 120.00°. The distinct sites, in fractional coordinates, are Sc at (0.0000, 0.0000, 0.0848), Ni at (0.0000, 0.0000, 0.0000) and W at (0.0000, 0.0000, 0.5000).

Please write out number 1 again, unchanged.
First-principles (GGA-PBE) data for a relaxed Sc2NiW crystal, as listed in the Alexandria database.

The value obtained for the total magnetization is 0.0000 μB per atom. The calculation puts the calculated total energy at -62.985 eV/cell. The value obtained for the energy of formation from the pure elements is -0.0237 eV/atom.

The structure belongs to space group Cm (No. 8); the cell edges are 10.427, 2.937 and 5.043 Å and the angles 90.00°, 114.46° and 90.00°. The distinct sites, in fractional coordinates, are Sc at (0.000, 0.000, 0.000), Sc at (0.199, 0.000, 0.633), Ni at (0.230, 0.500, 0.091) and W at (0.426, 0.000, 0.450).

- calculated total energy of number 2 (ScNi6W)?
  -445.561 eV/cell